This record from Alexandria describes an optimized crystal structure of Li2CuAg8. The functional is GGA-PBE.

## Properties
N(E_F) (states/eV per cell): 5.0
Density (Mg/m³): 8.2
DFT total energy (hartree per atom): -0.1032
E_form (eV per atom): -0.013

```
data_Li2CuAg8
_cell_length_a 4.405
_cell_length_b 6.685
_cell_length_c 12.923
_cell_angle_alpha 90.00
_cell_angle_beta 90.00
_cell_angle_gamma 90.00
_space_group_name_H-M_alt 'I m m m'
_space_group_IT_number 71
_space_group_name_Hall '-I 2 2'
loop_
_atom_site_label
_atom_site_fract_x
_atom_site_fract_y
_atom_site_fract_z
Li1 0.000 0.000 0.198
Cu1 0.000 0.000 0.500
Ag1 0.000 0.212 0.000
Ag2 0.000 0.283 0.354
Ag3 0.000 0.500 0.161
```

This record from Alexandria describes an optimized crystal structure of AlSiBr2. The functional is GGA-PBE.

## Properties
Energy relative to the elements, uncorrected (kJ per mole of atoms): 17.0
N(E_F) (states/eV per cell): 0.2
Density (Mg/m³): 3.4
DFT total energy (hartree per atom): -0.1085

```
data_AlSiBr2
_cell_length_a 3.403
_cell_length_b 3.931
_cell_length_c 7.779
_cell_angle_alpha 90.00
_cell_angle_beta 90.12
_cell_angle_gamma 90.00
_space_group_name_H-M_alt 'P 1 2/m 1'
_space_group_IT_number 10
loop_
_space_group_symop_operation_xyz
'x,y,z'
'-x,-y,-z'
'-x,y,-z'
'x,-y,z'
loop_
_atom_site_label
_atom_site_fract_x
_atom_site_fract_y
_atom_site_fract_z
Al1 0.000 0.000 0.000
Si1 0.500 0.000 0.500
Br1 0.499 0.500 0.751
```

This record from Alexandria describes an optimized crystal structure of ZnOs2Se. The functional is GGA-PBE.

## Properties
Energy relative to the elements, uncorrected (kJ per mole of atoms): 57.1
N(E_F) (states/eV per cell): 3.3
Density (Mg/m³): 15.1
DFT total energy (hartree per atom): -0.2283

```
data_ZnOs2Se
_cell_length_a 3.053
_cell_length_b 3.053
_cell_length_c 6.188
_cell_angle_alpha 90.00
_cell_angle_beta 90.00
_cell_angle_gamma 90.00
_space_group_name_H-M_alt 'P 4/m m m'
_space_group_IT_number 123
_space_group_name_Hall '-P 4 2'
loop_
_atom_site_label
_atom_site_fract_x
_atom_site_fract_y
_atom_site_fract_z
Zn1 0.000 0.000 0.000
Os1 0.500 0.500 0.253
Se1 0.000 0.000 0.500
```

This record from Alexandria describes an optimized crystal structure of NiOs2. The functional is GGA-PBE.

## Properties
N(E_F) (states/eV per cell): 11.1
Density (Mg/m³): 18.3
DFT total energy (hartree per atom): -0.3439
E_form (eV per atom): 0.055

```
data_NiOs2
_cell_length_a 7.998
_cell_length_b 4.606
_cell_length_c 5.159
_cell_angle_alpha 90.00
_cell_angle_beta 123.17
_cell_angle_gamma 90.00
_space_group_name_H-M_alt 'C 1 2/c 1'
_space_group_IT_number 15
loop_
_space_group_symop_operation_xyz
'x,y,z'
'-x,-y,-z'
'-x,y,-z+1/2'
'x,-y,z+1/2'
'x+1/2,y+1/2,z'
'-x+1/2,-y+1/2,-z'
'-x+1/2,y+1/2,-z+1/2'
'x+1/2,-y+1/2,z+1/2'
loop_
_atom_site_label
_atom_site_fract_x
_atom_site_fract_y
_atom_site_fract_z
Ni1 0.000 0.084 0.250
Os1 0.169 0.415 0.750
```